# 1
GGA-PBE Nd2TmAs3Rh4, optimized geometry; calculated density = 9350 kg/m3; space-group type = No. 115; formation energy from the elements = -9.760 eV/f.u.
1.0
4.130 0.000 0.000
0.000 4.130 0.000
0.000 0.000 11.389
Tm As Rh Nd
1 3 4 2
Direct
0.500 0.500 0.500
0.500 0.000 0.871
0.000 0.000 0.500
0.000 0.500 0.129
0.000 0.500 0.343
0.500 0.000 0.657
0.000 0.000 0.000
0.500 0.500 0.000
0.500 0.000 0.227
0.000 0.500 0.773

---

# 2
GGA-PBE NdYAs2Rh5, optimized geometry; calculated density = 9215 kg/m3; space-group type = No. 123; formation energy from the elements = -6.659 eV/f.u.
1.0
4.274 0.000 0.000
0.000 4.274 0.000
0.000 0.000 8.853
Y Rh Nd As
1 5 1 2
Direct
0.000 0.000 0.000
0.500 0.000 0.737
0.000 0.500 0.263
0.000 0.500 0.737
0.500 0.000 0.263
0.500 0.500 0.500
0.000 0.000 0.500
0.500 0.500 0.854
0.500 0.500 0.146